[1]
Rb2ZrRu2 at its PBEsol-relaxed geometry, computed with meta-GGA SCAN.

Summary:
Energy of formation ... 2.1735 eV per atom
Total DFT energy (no corrections) ... -261.924 eV/cell

Cell: 4.9925 4.9925 9.4547 Å, 90.00 90.00 90.00°
Space group I4/mmm (No. 139)
Unique sites:
Rb (0.0000, 0.0000, 0.1423) [4 per cell]
Zr (0.0000, 0.0000, 0.5000) [2 per cell]
Ru (0.0000, 0.5000, 0.2500) [4 per cell]

[2]
AlZn2Cu at its PBEsol-relaxed geometry, computed with meta-GGA SCAN.

Summary:
Energy of formation ... -0.0705 eV per atom
Total DFT energy (no corrections) ... -100.528 eV/cell

Cell: 3.7858 3.7858 7.5796 Å, 90.00 90.00 90.00°
Space group I-4m2 (No. 119)
Unique sites:
Al (0.0000, 0.0000, 0.0000) [2 per cell]
Zn (0.0000, 0.0000, 0.5000) [2 per cell]
Zn (0.0000, 0.5000, 0.7500) [2 per cell]
Cu (0.0000, 0.5000, 0.2500) [2 per cell]

[3]
Mg2MoIr at its PBEsol-relaxed geometry, computed with meta-GGA SCAN.

Summary:
Energy of formation ... 0.0179 eV per atom
Excess energy over the best structure of this formula in the dataset ... 0.00 eV/f.u.
Total DFT energy (no corrections) ... -115.860 eV/cell

Cell: 2.9681 4.6047 4.6233 Å, 90.00 90.00 90.00°
Space group Pmmm (No. 47)
Unique sites:
Mg (0.0000, 0.0000, 0.0000) [1 per cell]
Mg (0.5000, 0.5000, 0.0000) [1 per cell]
Mo (0.0000, 0.5000, 0.5000) [1 per cell]
Ir (0.5000, 0.0000, 0.5000) [1 per cell]

Question: energy of formation of number 3 (Mg2MoIr)?
Answer: 0.0179 eV per atom

Question: Which value of energy of formation does entry 1 give?
Answer: 2.1735 eV per atom